No. 1
Here is a relaxed Ca4SbAs2 crystal from Alexandria. Energies are from PBE-GGA.

Calculated values
- SG: I-42d, No. 122

a b c (Å): 7.928 7.928 7.928
angles (deg): 109.05 109.05 110.31
Element x y z (fractional)
Sb 0.000 0.000 0.000
Sb 0.250 0.750 0.500
As 0.125 0.248 0.623
As 0.625 0.502 0.377
As 0.752 0.375 0.877
As 0.498 0.875 0.123
Ca 0.011 0.612 0.747
Ca 0.385 0.138 0.899
Ca 0.239 0.486 0.101
Ca 0.866 0.264 0.253
Ca 0.514 0.615 0.753
Ca 0.388 0.134 0.399
Ca 0.736 0.989 0.601
Ca 0.862 0.761 0.247

***

No. 2
Here is a relaxed CaSb2As crystal from Alexandria. Energies are from PBE-GGA.

Calculated values
- SG: R-3m, No. 166

a b c (Å): 8.331 8.331 8.331
angles (deg): 28.17 28.17 28.17
Element x y z (fractional)
As 0.250 0.250 0.250
Sb 0.512 0.512 0.512
Sb 0.988 0.988 0.988
Ca 0.750 0.750 0.750

***

No. 3
Here is a relaxed CaSb2As crystal from Alexandria. Energies are from PBE-GGA.

Calculated values
- SG: C2/m, No. 12

a b c (Å): 6.263 6.263 4.836
angles (deg): 70.64 70.64 37.28
Element x y z (fractional)
Ca 0.250 0.250 0.250
Sb 0.043 0.043 0.921
Sb 0.457 0.457 0.579
As 0.750 0.750 0.750

***

no.,VASP energy (Ry/atom),D(E_F) (states/eV/cell)
1,-0.3034,10.696
2,-0.2919,3.167
3,-0.3035,1.578